#w
BiTe2IrN: optimized geometry, PBE-GGA.

a = 5.8129 Å, b = 5.8129 Å, c = 4.0067 Å
α = 90.00°, β = 90.00°, γ = 90.00°
With the nearest neighbours (Å) after each atom.
Element x y z (fractional)
Bi1 0.0000 0.0000 0.0000  2 N 2.00
Te1 0.5000 0.0000 0.0000  2 Bi 2.91
Te2 0.0000 0.5000 0.0000  2 Bi 2.91
N1 0.0000 0.0000 0.5000  2 Bi 2.00
Ir1 0.5000 0.5000 0.5000  8 Te 3.53

Values from the calculation:
crystal system	tetragonal
V	135.39	Å³ per cell
symmetry	P4/mmm (123)

=====

#x
BiTe2IrN: optimized geometry, PBE-GGA.

a = 5.6094 Å, b = 5.6094 Å, c = 3.7307 Å
α = 90.00°, β = 90.00°, γ = 90.00°
With the nearest neighbours (Å) after each atom.
Element x y z (fractional)
Ir1 0.0000 0.0000 0.0000  2 N 1.87
Te1 0.0000 0.5000 0.0000  2 Ir 2.80
Te2 0.5000 0.0000 0.0000  2 Ir 2.80
Bi1 0.5000 0.5000 0.5000  8 Te 3.37, 2 Bi 3.73
N1 0.0000 0.0000 0.5000  2 Ir 1.87

Values from the calculation:
crystal system	tetragonal
V	117.39	Å³ per cell
symmetry	P4/mmm (123)

=====

Q: What are the energies relative to the best structure? A: #w 1605; #x 0, in meV/atom.

=====

#w
Na3BiIr: optimized geometry, PBE-GGA.

a = 5.3855 Å, b = 5.3855 Å, c = 5.3855 Å
α = 90.00°, β = 90.00°, γ = 90.00°
With the nearest neighbours (Å) after each atom.
Element x y z (fractional)
Bi1 0.5000 0.5000 0.5000  12 Na 3.81
Na1 0.0000 0.5000 0.0000  2 Ir 2.69
Na2 0.0000 0.0000 0.5000  2 Ir 2.69
Na3 0.5000 0.0000 0.0000  2 Ir 2.69
Ir1 0.0000 0.0000 0.0000  6 Na 2.69

Values from the calculation:
crystal system	cubic
V	156.20	Å³ per cell
symmetry	Pm-3m (221)

=====

#x
Na3BiIr: optimized geometry, PBE-GGA.

a = 5.8826 Å, b = 5.8826 Å, c = 5.8826 Å
α = 90.00°, β = 90.00°, γ = 90.00°
With the nearest neighbours (Å) after each atom.
Element x y z (fractional)
Na1 0.0000 0.0000 0.5000  2 Bi 2.94
Na2 0.5000 0.0000 0.0000  2 Bi 2.94
Na3 0.0000 0.5000 0.0000  2 Bi 2.94
Ir1 0.5000 0.5000 0.5000  12 Na 4.16
Bi1 0.0000 0.0000 0.0000  6 Na 2.94

Values from the calculation:
crystal system	cubic
V	203.57	Å³ per cell
symmetry	Pm-3m (221)

=====

Q: What are the energies relative to the best structure? A: #w 0; #x 269, in meV/atom.

=====

#w
NiBi6Ir: optimized geometry, PBE-GGA.

a = 8.4472 Å, b = 8.4472 Å, c = 8.4310 Å
α = 109.50°, β = 109.46°, γ = 109.53°
With the nearest neighbours (Å) after each atom.
Element x y z (fractional)
Bi1 0.6621 0.8258 0.1561  1 Ni 2.69, 1 Ir 2.75
Bi2 0.5057 0.8438 0.6694  1 Ni 2.68, 1 Ir 2.75
Bi3 0.3379 0.1742 0.8439  1 Ni 2.69, 1 Ir 2.75
Bi4 0.4943 0.1562 0.3306  1 Ni 2.68, 1 Ir 2.75
Bi5 0.8458 0.6624 0.5083  2 Ir 2.75
Bi6 0.3303 0.4940 0.1561  1 Ni 2.69, 1 Ir 2.75
Bi7 0.1646 0.6684 0.8330  2 Ni 2.69
Bi8 0.8354 0.3316 0.1670  2 Ni 2.69
Bi9 0.1744 0.8363 0.3306  1 Ni 2.68, 1 Ir 2.75
Bi10 0.1542 0.3376 0.4917  2 Ir 2.75
Bi11 0.8256 0.1637 0.6694  1 Ni 2.68, 1 Ir 2.75
Bi12 0.6697 0.5060 0.8439  1 Ni 2.69, 1 Ir 2.75
Ir1 0.0000 0.0000 0.5000  6 Bi 2.75
Ir2 0.5000 0.5000 0.5000  6 Bi 2.75
Ni1 0.0000 0.5000 0.0000  6 Bi 2.68-2.69
Ni2 0.5000 0.0000 0.0000  6 Bi 2.68-2.69

Values from the calculation:
crystal system	monoclinic
V	462.67	Å³ per cell
symmetry	C2/m (12)

=====

#x
NiBi6Ir: optimized geometry, PBE-GGA.

a = 6.7099 Å, b = 6.7099 Å, c = 8.5692 Å
α = 109.06°, β = 109.06°, γ = 125.71°
With the nearest neighbours (Å) after each atom.
Element x y z (fractional)
Bi1 0.2793 0.6140 0.2562  1 Ni 2.74, 1 Ir 2.77
Bi2 0.3860 0.7207 0.7438  1 Ni 2.74, 1 Ir 2.77
Bi3 0.6140 0.2793 0.2562  1 Ni 2.74, 1 Ir 2.77
Bi4 0.8907 0.8907 0.2585  1 Ni 2.67, 1 Ir 2.73
Bi5 0.7207 0.3860 0.7438  1 Ni 2.74, 1 Ir 2.77
Bi6 0.1093 0.1093 0.7415  1 Ni 2.67, 1 Ir 2.73
Ir1 0.0000 0.0000 0.0000  6 Bi 2.73-2.77, 2 Ni 2.99
Ni1 0.5000 0.5000 0.5000  6 Bi 2.67-2.74, 2 Ir 2.99

Values from the calculation:
crystal system	monoclinic
V	218.77	Å³ per cell
symmetry	C2/m (12)

=====

Q: What are the energies relative to the best structure? A: #w 0; #x 83, in meV/atom.

=====

#w
NiBi3Ir: optimized geometry, PBE-GGA.

a = 5.3119 Å, b = 5.3119 Å, c = 5.3119 Å
α = 90.00°, β = 90.00°, γ = 90.00°
With the nearest neighbours (Å) after each atom.
Element x y z (fractional)
Ni1 0.5000 0.5000 0.5000  12 Bi 3.76
Bi1 0.5000 0.0000 0.0000  2 Ir 2.66
Bi2 0.0000 0.5000 0.0000  2 Ir 2.66
Bi3 0.0000 0.0000 0.5000  2 Ir 2.66
Ir1 0.0000 0.0000 0.0000  6 Bi 2.66

Values from the calculation:
crystal system	cubic
V	149.88	Å³ per cell
symmetry	Pm-3m (221)

=====

#x
NiBi3Ir: optimized geometry, PBE-GGA.

a = 6.9622 Å, b = 6.9622 Å, c = 6.9622 Å
α = 102.13°, β = 104.49°, γ = 122.66°
With the nearest neighbours (Å) after each atom.
Element x y z (fractional)
Bi1 0.4670 0.7121 0.8673  2 Ni 2.71, 2 Ir 2.84
Bi2 0.1695 0.3243 0.3452  1 Ni 2.60, 2 Ir 2.71-2.85
Bi3 0.9791 0.8243 0.6548  1 Ni 2.60, 2 Ir 2.71-2.85
Bi4 0.8447 0.5997 0.1327  2 Ni 2.71, 2 Ir 2.84
Bi5 0.8447 0.2121 0.7451  2 Ni 2.71, 2 Ir 2.84
Bi6 0.4670 0.0997 0.2549  2 Ni 2.71, 2 Ir 2.84
Ir1 0.7472 0.9186 0.3286  1 Ni 2.68, 6 Bi 2.71-2.85
Ir2 0.5900 0.4186 0.6714  1 Ni 2.68, 6 Bi 2.71-2.85
Ni1 0.2367 0.6036 0.1331  5 Bi 2.60-2.71, 1 Ir 2.68
Ni2 0.4706 0.1036 0.8669  5 Bi 2.60-2.71, 1 Ir 2.68

Values from the calculation:
crystal system	orthorhombic
V	249.20	Å³ per cell
symmetry	Ima2 (46)

=====

#y
NiBi3Ir: optimized geometry, PBE-GGA.

a = 5.0037 Å, b = 5.0037 Å, c = 5.0037 Å
α = 90.00°, β = 90.00°, γ = 90.00°
With the nearest neighbours (Å) after each atom.
Element x y z (fractional)
Ir1 0.5000 0.5000 0.5000  12 Bi 3.54
Ni1 0.0000 0.0000 0.0000  6 Bi 2.50
Bi1 0.5000 0.0000 0.0000  2 Ni 2.50
Bi2 0.0000 0.0000 0.5000  2 Ni 2.50
Bi3 0.0000 0.5000 0.0000  2 Ni 2.50

Values from the calculation:
crystal system	cubic
V	125.28	Å³ per cell
symmetry	Pm-3m (221)

=====

Q: What are the energies relative to the best structure? A: #w 719; #x 0; #y 556, in meV/atom.

=====

#w
NiBiIr3: optimized geometry, PBE-GGA.

a = 4.5538 Å, b = 4.5538 Å, c = 4.5538 Å
α = 90.00°, β = 90.00°, γ = 90.00°
With the nearest neighbours (Å) after each atom.
Element x y z (fractional)
Ir1 0.5000 0.0000 0.0000  2 Ni 2.28
Ir2 0.0000 0.5000 0.0000  2 Ni 2.28
Ir3 0.0000 0.0000 0.5000  2 Ni 2.28
Ni1 0.0000 0.0000 0.0000  6 Ir 2.28
Bi1 0.5000 0.5000 0.5000  12 Ir 3.22

Values from the calculation:
crystal system	cubic
V	94.43	Å³ per cell
symmetry	Pm-3m (221)

=====

#x
NiBiIr3: optimized geometry, PBE-GGA.

a = 4.9563 Å, b = 4.9563 Å, c = 4.9563 Å
α = 90.00°, β = 90.00°, γ = 90.00°
With the nearest neighbours (Å) after each atom.
Element x y z (fractional)
Ni1 0.5000 0.5000 0.5000  12 Ir 3.50
Ir1 0.5000 0.0000 0.0000  2 Bi 2.48
Ir2 0.0000 0.5000 0.0000  2 Bi 2.48
Ir3 0.0000 0.0000 0.5000  2 Bi 2.48
Bi1 0.0000 0.0000 0.0000  6 Ir 2.48

Values from the calculation:
crystal system	cubic
V	121.75	Å³ per cell
symmetry	Pm-3m (221)

=====

Q: What are the energies relative to the best structure? A: #w 0; #x 1239, in meV/atom.

=====

#w
Bi3IrO: optimized geometry, PBE-GGA.

a = 4.7993 Å, b = 4.7993 Å, c = 4.7993 Å
α = 90.00°, β = 90.00°, γ = 90.00°
With the nearest neighbours (Å) after each atom.
Element x y z (fractional)
O1 0.0000 0.0000 0.0000  6 Bi 2.40
Bi1 0.0000 0.0000 0.5000  2 O 2.40
Bi2 0.0000 0.5000 0.0000  2 O 2.40
Bi3 0.5000 0.0000 0.0000  2 O 2.40
Ir1 0.5000 0.5000 0.5000  12 Bi 3.39

Values from the calculation:
crystal system	cubic
V	110.54	Å³ per cell
symmetry	Pm-3m (221)

=====

#x
Bi3IrO: optimized geometry, PBE-GGA.

a = 5.3203 Å, b = 5.3203 Å, c = 5.3203 Å
α = 90.00°, β = 90.00°, γ = 90.00°
With the nearest neighbours (Å) after each atom.
Element x y z (fractional)
Ir1 0.0000 0.0000 0.0000  6 Bi 2.66
Bi1 0.5000 0.0000 0.0000  2 Ir 2.66
Bi2 0.0000 0.0000 0.5000  2 Ir 2.66
Bi3 0.0000 0.5000 0.0000  2 Ir 2.66
O1 0.5000 0.5000 0.5000  12 Bi 3.76

Values from the calculation:
crystal system	cubic
V	150.60	Å³ per cell
symmetry	Pm-3m (221)

=====

Q: What are the energies relative to the best structure? A: #w 0; #x 672, in meV/atom.

=====

#w
BiIr2O: optimized geometry, PBE-GGA.

a = 4.4584 Å, b = 4.4584 Å, c = 4.4584 Å
α = 60.00°, β = 60.00°, γ = 60.00°
With the nearest neighbours (Å) after each atom.
Element x y z (fractional)
Ir1 0.2500 0.2500 0.2500  4 O 2.73, 4 Bi 2.73
Ir2 0.7500 0.7500 0.7500  4 O 2.73, 4 Bi 2.73
Bi1 0.5000 0.5000 0.5000  8 Ir 2.73
O1 0.0000 0.0000 0.0000  8 Ir 2.73

Values from the calculation:
crystal system	cubic
V	62.67	Å³ per cell
symmetry	Fm-3m (225)

=====

#x
BiIr2O: optimized geometry, PBE-GGA.

a = 4.8419 Å, b = 4.8419 Å, c = 7.2935 Å
α = 70.61°, β = 70.61°, γ = 90.00°
With the nearest neighbours (Å) after each atom.
Element x y z (fractional)
Ir1 0.3750 0.5395 0.7500  2 O 2.06
Ir2 0.4605 0.1250 0.2500  2 O 2.06
Ir3 0.8750 0.7105 0.7500  2 O 2.06
Ir4 0.2895 0.6250 0.2500  2 O 2.06
O1 0.2500 0.7500 0.5000  4 Ir 2.06
O2 0.5000 0.5000 0.0000  4 Ir 2.06
Bi1 0.0000 0.0000 0.0000  4 Ir 2.84
Bi2 0.7500 0.2500 0.5000  4 Ir 2.84

Values from the calculation:
crystal system	tetragonal
V	150.98	Å³ per cell
symmetry	I-42d (122)

=====

Q: What are the energies relative to the best structure? A: #w 639; #x 0, in meV/atom.

=====

#w
Bi2Ir2O: optimized geometry, PBE-GGA.

a = 6.7767 Å, b = 6.7767 Å, c = 4.4223 Å
α = 90.00°, β = 90.00°, γ = 90.00°
With the nearest neighbours (Å) after each atom.
Element x y z (fractional)
Ir1 0.3740 0.1260 0.5000  1 Ir 2.42
Ir2 0.8740 0.3740 0.5000  1 Ir 2.42
Ir3 0.1260 0.6260 0.5000  1 Ir 2.42
Ir4 0.6260 0.8740 0.5000  1 Ir 2.42
O1 0.5000 0.5000 0.0000  4 Bi 2.45
O2 0.0000 0.0000 0.0000  4 Bi 2.45
Bi1 0.8048 0.6952 0.0000  2 O 2.45
Bi2 0.6952 0.1952 0.0000  2 O 2.45
Bi3 0.3048 0.8048 0.0000  2 O 2.45
Bi4 0.1952 0.3048 0.0000  2 O 2.45

Values from the calculation:
crystal system	tetragonal
V	203.08	Å³ per cell
symmetry	P4/mbm (127)

=====

#x
Bi2Ir2O: optimized geometry, PBE-GGA.

a = 3.6794 Å, b = 3.6794 Å, c = 7.9620 Å
α = 76.64°, β = 76.64°, γ = 90.00°
With the nearest neighbours (Å) after each atom.
Element x y z (fractional)
Ir1 0.7500 0.2500 0.5000  4 Ir 2.60, 4 Bi 2.87
Ir2 0.2500 0.7500 0.5000  4 Ir 2.60, 4 Bi 2.87
Bi1 0.6037 0.6037 0.7925  4 Ir 2.87, 4 O 3.03, 1 Bi 3.12
Bi2 0.3963 0.3963 0.2075  4 Ir 2.87, 4 O 3.03, 1 Bi 3.12
O1 0.0000 0.0000 0.0000  8 Bi 3.03

Values from the calculation:
crystal system	tetragonal
V	101.87	Å³ per cell
symmetry	I4/mmm (139)

=====

Q: What are the energies relative to the best structure? A: #w 275; #x 0, in meV/atom.